LiTmO2 | GGA-PBE | optimized geometry

The structure in POSCAR format:
```
LiTmO2
1.0
1.646 0.951 5.476
-1.646 0.951 5.476
0.000 -1.901 5.476
Li Tm O
1 1 2
Cartesian
0.000 0.000 0.000
0.000 0.000 13.420
0.000 0.000 3.576
0.000 0.000 6.666
```

Results
The uncorrected energy comes out at -0.5076 Ry/atom. The uncorrected formation energy is -2831 meV per atom.

***

LiTmO | GGA-PBE | optimized geometry

The structure in POSCAR format:
```
LiTmO
1.0
5.804 -3.362 0.000
5.804 3.362 0.000
0.000 0.000 5.358
Li Tm O
4 4 4
Cartesian
5.804 2.354 4.983
5.804 1.008 2.304
5.804 -1.008 3.054
5.804 -2.354 0.375
1.724 0.000 2.679
4.080 0.000 0.000
7.528 0.000 0.000
9.883 0.000 2.679
5.804 2.758 1.496
5.804 0.604 4.175
5.804 -0.604 1.183
5.804 -2.758 3.862
```

Results
The uncorrected energy comes out at -0.4026 Ry/atom. The uncorrected formation energy is -1697 meV per atom.

***

Li2TmUO6 | GGA-PBE | optimized geometry

The structure in POSCAR format:
```
Li2TmUO6
1.0
5.503 0.000 0.000
0.000 5.659 0.000
-5.488 0.000 7.995
Li Tm U O
4 2 2 12
Cartesian
-0.080 0.054 2.034
-2.824 2.775 6.031
2.839 2.883 1.964
0.095 5.605 5.961
2.752 0.000 0.000
0.008 2.829 3.997
-2.744 0.000 3.997
0.000 2.829 0.000
-3.440 0.428 5.912
-0.696 2.401 1.915
-1.902 3.862 4.565
0.842 4.626 0.567
-0.964 0.913 4.512
1.780 1.916 0.514
-1.765 3.742 7.480
0.979 4.746 3.483
-0.827 1.033 7.427
1.917 1.796 3.430
0.711 3.258 6.080
3.455 5.230 2.083
```

Results
The uncorrected energy comes out at -0.5608 Ry/atom. The uncorrected formation energy is -2696 meV per atom.

***

Which value of uncorrected formation energy does entry 1 give? -2831 meV per atom

***

Look up the uncorrected energy of the second one. -0.4026 Ry/atom

***

Look up the uncorrected formation energy of the second one. -1697 meV per atom